Entry 1:
La3Tl4Hg2 after structural relaxation. Source: Alexandria via LeMat-Bulk, functional GGA-PBE. Values from VASP.

Output
Formation energy, eV per atom: -0.380
Total magnetization, μB per cell: 0.00

Geometry as Quantum ESPRESSO input:
```
&SYSTEM
  ibrav = 0, nat = 9, ntyp = 3
/
ATOMIC_SPECIES
La 138.91 La.upf
Tl 204.38 Tl.upf
Hg 200.59 Hg.upf
CELL_PARAMETERS angstrom
5.927 -2.538 0.000
5.927 2.538 0.000
-4.008 0.000 8.819
ATOMIC_POSITIONS crystal
La 0.000 0.000 0.000
La 0.337 0.337 0.331
La 0.663 0.663 0.669
Tl 0.040 0.040 0.368
Tl 0.309 0.309 0.968
Tl 0.691 0.691 0.032
Tl 0.960 0.960 0.632
Hg 0.348 0.348 0.680
Hg 0.652 0.652 0.320
```

***

Entry 2:
Co2HgW after structural relaxation. Source: Alexandria via LeMat-Bulk, functional GGA-PBE. Values from VASP.

Output
Formation energy, eV per atom: 0.506
Total magnetization, μB per cell: 0.00

Geometry as Quantum ESPRESSO input:
```
&SYSTEM
  ibrav = 0, nat = 4, ntyp = 3
/
ATOMIC_SPECIES
Co 58.93 Co.upf
Hg 200.59 Hg.upf
W 183.84 W.upf
CELL_PARAMETERS angstrom
2.865 -3.556 0.000
2.865 3.556 0.000
0.000 0.000 2.778
ATOMIC_POSITIONS crystal
Co 0.000 0.500 0.000
Co 0.500 0.000 0.000
Hg 0.000 0.000 0.500
W 0.500 0.500 0.500
```

***

Entry 3:
NaHfSc after structural relaxation. Source: Alexandria via LeMat-Bulk, functional GGA-PBE. Values from VASP.

Output
Formation energy, eV per atom: 0.236
Total magnetization, μB per cell: 0.00

Geometry as Quantum ESPRESSO input:
```
&SYSTEM
  ibrav = 0, nat = 6, ntyp = 3
/
ATOMIC_SPECIES
Na 22.99 Na.upf
Hf 178.49 Hf.upf
Sc 44.96 Sc.upf
CELL_PARAMETERS angstrom
5.605 0.000 0.000
0.000 3.177 0.000
-1.892 0.000 8.672
ATOMIC_POSITIONS crystal
Na 0.000 0.000 0.000
Na 0.498 0.500 0.996
Hf 0.205 0.000 0.633
Hf 0.948 0.500 0.361
Sc 0.441 0.000 0.355
Sc 0.712 0.500 0.639
```

***

Entry 4:
InGaPb2S5 after structural relaxation. Source: Alexandria via LeMat-Bulk, functional GGA-PBE. Values from VASP.

Output
Total magnetization, μB per cell: 0.00
Energy relative to the elements, uncorrected, meV per atom: -581.6

Geometry as Quantum ESPRESSO input:
```
&SYSTEM
  ibrav = 0, nat = 18, ntyp = 4
/
ATOMIC_SPECIES
In 114.82 In.upf
Ga 69.72 Ga.upf
Pb 207.20 Pb.upf
S 32.06 S.upf
CELL_PARAMETERS angstrom
1.928 -8.822 0.000
1.928 8.822 0.000
0.000 0.000 12.673
ATOMIC_POSITIONS crystal
In 0.204 0.796 0.500
In 0.796 0.204 0.000
Ga 0.446 0.554 0.902
Ga 0.554 0.446 0.402
Pb 0.125 0.875 0.141
Pb 0.126 0.874 0.792
Pb 0.874 0.126 0.292
Pb 0.875 0.125 0.641
S 0.043 0.957 0.507
S 0.290 0.710 0.142
S 0.318 0.682 0.857
S 0.351 0.649 0.482
S 0.490 0.510 0.249
S 0.510 0.490 0.749
S 0.649 0.351 0.982
S 0.682 0.318 0.357
S 0.710 0.290 0.642
S 0.957 0.043 0.007
```

***

Entry 5:
SrTbAg2O4 after structural relaxation. Source: Alexandria via LeMat-Bulk, functional GGA-PBE. Values from VASP.

Output
Total magnetization, μB per cell: 0.00
Energy relative to the elements, uncorrected, meV per atom: -1734.9

Geometry as Quantum ESPRESSO input:
```
&SYSTEM
  ibrav = 0, nat = 8, ntyp = 4
/
ATOMIC_SPECIES
Sr 87.62 Sr.upf
Tb 158.93 Tb.upf
Ag 107.87 Ag.upf
O 16.00 O.upf
CELL_PARAMETERS angstrom
-3.051 3.051 3.414
3.051 -3.051 3.414
3.051 3.051 -3.414
ATOMIC_POSITIONS crystal
Sr 0.000 0.000 0.000
Tb 0.500 0.500 0.000
Ag 0.250 0.750 0.500
Ag 0.750 0.250 0.500
O 0.093 0.479 0.000
O 0.479 0.093 0.000
O 0.521 0.521 0.614
O 0.907 0.907 0.386
```

***

Entry 6:
K3ReH6 after structural relaxation. Source: Alexandria via LeMat-Bulk, functional GGA-PBE. Values from VASP.

Output
Total magnetization, μB per cell: 2.00
Uncorrected energy, eV per atom: -3.643

Geometry as Quantum ESPRESSO input:
```
&SYSTEM
  ibrav = 0, nat = 10, ntyp = 3
/
ATOMIC_SPECIES
K 39.10 K.upf
Re 186.21 Re.upf
H 1.01 H.upf
CELL_PARAMETERS angstrom
0.000 4.263 4.263
4.263 0.000 4.263
4.263 4.263 0.000
ATOMIC_POSITIONS crystal
K 0.000 0.000 0.000
K 0.250 0.250 0.250
K 0.750 0.750 0.750
Re 0.500 0.500 0.500
H 0.291 0.291 0.709
H 0.291 0.709 0.291
H 0.291 0.709 0.709
H 0.709 0.291 0.291
H 0.709 0.291 0.709
H 0.709 0.709 0.291
```

***

Entry 7:
PrSm10Er4 after structural relaxation. Source: Alexandria via LeMat-Bulk, functional GGA-PBE. Values from VASP.

Output
Formation energy, eV per atom: 0.456
Total magnetization, μB per cell: 0.00

Geometry as Quantum ESPRESSO input:
```
&SYSTEM
  ibrav = 0, nat = 15, ntyp = 3
/
ATOMIC_SPECIES
Pr 140.91 Pr.upf
Sm 150.36 Sm.upf
Er 167.26 Er.upf
CELL_PARAMETERS angstrom
-4.955 4.955 5.400
4.955 -4.955 5.400
4.955 4.955 -5.400
ATOMIC_POSITIONS crystal
Pr 0.000 0.000 0.000
Sm 0.052 0.395 0.106
Sm 0.054 0.948 0.343
Sm 0.250 0.750 0.500
Sm 0.289 0.946 0.894
Sm 0.395 0.289 0.343
Sm 0.605 0.711 0.657
Sm 0.711 0.054 0.106
Sm 0.750 0.250 0.500
Sm 0.946 0.052 0.657
Sm 0.948 0.605 0.894
Er 0.220 0.443 0.663
Er 0.443 0.780 0.223
Er 0.557 0.220 0.777
Er 0.780 0.557 0.337
```

***

Entry 8:
SrMn2BSb after structural relaxation. Source: Alexandria via LeMat-Bulk, functional GGA-PBE. Values from VASP.

Output
Total magnetization, μB per cell: 6.74
Energy relative to the elements, uncorrected, meV per atom: 1311.4

Geometry as Quantum ESPRESSO input:
```
&SYSTEM
  ibrav = 0, nat = 5, ntyp = 4
/
ATOMIC_SPECIES
Sr 87.62 Sr.upf
Mn 54.94 Mn.upf
B 10.81 B.upf
Sb 121.76 Sb.upf
CELL_PARAMETERS angstrom
4.987 0.000 0.000
0.000 4.987 0.000
0.000 0.000 6.286
ATOMIC_POSITIONS crystal
Sr 0.000 0.000 0.000
Mn 0.000 0.500 0.500
Mn 0.500 0.000 0.500
B 0.500 0.500 0.000
Sb 0.000 0.000 0.500
```

***

Entry 9:
TbCeBi6 after structural relaxation. Source: Alexandria via LeMat-Bulk, functional GGA-PBE. Values from VASP.

Output
Formation energy, eV per atom: -0.338
Total magnetization, μB per cell: 0.80

Geometry as Quantum ESPRESSO input:
```
&SYSTEM
  ibrav = 0, nat = 8, ntyp = 3
/
ATOMIC_SPECIES
Tb 158.93 Tb.upf
Ce 140.12 Ce.upf
Bi 208.98 Bi.upf
CELL_PARAMETERS angstrom
4.609 0.000 0.000
0.000 2.342 11.719
0.000 -2.342 11.719
ATOMIC_POSITIONS crystal
Tb 0.000 0.000 0.000
Ce 0.500 0.351 0.351
Bi 0.000 0.239 0.239
Bi 0.000 0.620 0.620
Bi 0.000 0.865 0.865
Bi 0.500 0.105 0.105
Bi 0.500 0.488 0.488
Bi 0.500 0.742 0.742
```

***

Entry 10:
PrErTm2Au4 after structural relaxation. Source: Alexandria via LeMat-Bulk, functional GGA-PBE. Values from VASP.

Output
Formation energy, eV per atom: -0.843
Total magnetization, μB per cell: 0.00

Geometry as Quantum ESPRESSO input:
```
&SYSTEM
  ibrav = 0, nat = 8, ntyp = 4
/
ATOMIC_SPECIES
Pr 140.91 Pr.upf
Er 167.26 Er.upf
Tm 168.93 Tm.upf
Au 196.97 Au.upf
CELL_PARAMETERS angstrom
2.528 1.460 8.522
-2.528 1.460 8.522
0.000 -2.919 8.522
ATOMIC_POSITIONS crystal
Pr 0.000 0.000 0.000
Er 0.500 0.500 0.500
Tm 0.248 0.248 0.248
Tm 0.752 0.752 0.752
Au 0.128 0.128 0.128
Au 0.384 0.384 0.384
Au 0.616 0.616 0.616
Au 0.872 0.872 0.872
```

***

Entry 11:
MgSb2Rh after structural relaxation. Source: Alexandria via LeMat-Bulk, functional GGA-PBE. Values from VASP.

Output
Total magnetization, μB per cell: 0.00
Energy relative to the elements, uncorrected, meV per atom: -80.3

Geometry as Quantum ESPRESSO input:
```
&SYSTEM
  ibrav = 0, nat = 4, ntyp = 3
/
ATOMIC_SPECIES
Mg 24.30 Mg.upf
Sb 121.76 Sb.upf
Rh 102.91 Rh.upf
CELL_PARAMETERS angstrom
-2.116 2.116 4.607
2.116 -2.116 4.607
2.116 2.116 -4.607
ATOMIC_POSITIONS crystal
Mg 0.000 0.000 0.000
Sb 0.500 0.500 0.000
Sb 0.750 0.250 0.500
Rh 0.250 0.750 0.500
```

***

Entry 12:
Pu2IrRu after structural relaxation. Source: Alexandria via LeMat-Bulk, functional GGA-PBE. Values from VASP.

Output
Formation energy, eV per atom: -0.288
Total magnetization, μB per cell: 9.22

Geometry as Quantum ESPRESSO input:
```
&SYSTEM
  ibrav = 0, nat = 4, ntyp = 3
/
ATOMIC_SPECIES
Pu 244.00 Pu.upf
Ir 192.22 Ir.upf
Ru 101.07 Ru.upf
CELL_PARAMETERS angstrom
3.505 0.000 0.000
0.000 3.505 0.000
0.000 0.000 6.400
ATOMIC_POSITIONS crystal
Pu 0.000 0.000 0.250
Pu 0.000 0.000 0.750
Ir 0.500 0.500 0.000
Ru 0.500 0.500 0.500
```

***

Question: The highest total magnetization belongs to which entry?
Answer: Pu2IrRu